Ba2GeTe3 | PBE-GGA | optimized geometry

The structure belongs to space group C2/c (No. 15); the cell edges are 15.1191, 7.0116 and 9.5433 Å and the angles 90.00°, 108.39° and 90.00°. Symmetry generates all atoms from Ba at (0.1720, 0.0013, 0.0858), Ge at (0.0000, 0.4544, 0.2500), Te at (0.0000, 0.0599, 0.2500) and Te at (0.1464, 0.4994, 0.5735).

BaGeTe | PBE-GGA | optimized geometry

The structure belongs to space group Immm (No. 71); the cell edges are 4.9411, 5.1004 and 17.7560 Å and the angles 90.00°, 90.00° and 90.00°. Symmetry generates all atoms from Ba at (0.0000, 0.0000, 0.1376), Ge at (0.0000, 0.2435, 0.5000) and Te at (0.0000, 0.0000, 0.3377).

Ba3Ge2Te6 | PBE-GGA | optimized geometry

The structure belongs to space group I4/mmm (No. 139); the cell edges are 5.4971, 5.4971 and 28.1098 Å and the angles 90.00°, 90.00° and 90.00°. Symmetry generates all atoms from Ba at (0.0000, 0.0000, 0.0000), Ba at (0.0000, 0.0000, 0.1729), Ge at (0.0000, 0.0000, 0.3929), Te at (0.0000, 0.0000, 0.2987) and Te at (0.0000, 0.5000, 0.0838).

Ba2ThGeTe5 | PBE-GGA | optimized geometry

The structure belongs to space group Cmc2_1 (No. 36); the cell edges are 4.7533, 20.0650 and 14.5006 Å and the angles 90.00°, 90.00° and 90.00°. Symmetry generates all atoms from Ba at (0.0000, 0.1040, 0.0000), Ba at (0.0000, 0.1269, 0.6336), Th at (0.0000, 0.2101, 0.3449), Ge at (0.0000, 0.4505, 0.7678), Te at (0.0000, 0.0586, 0.3826), Te at (0.0000, 0.2808, 0.9895), Te at (0.0000, 0.3176, 0.6999), Te at (0.0000, 0.3634, 0.3197) and Te at (0.0000, 0.4942, 0.0850).

no.,formation energy without anion corrections (eV/atom)
1,-1.14
2,-0.81
3,-0.93
4,-1.18